No. 1
NdMgGa2Ni2 | GGA-PBE | optimized geometry

Geometry as POSCAR:
```
NdMgGa2Ni2
1.0
4.227 0.000 0.000
-2.114 3.661 0.000
0.000 0.000 6.883
Nd Mg Ga Ni
1 1 2 2
Direct
0.000 0.000 0.000 Nd
0.000 0.000 0.500 Mg
0.333 0.667 0.286 Ga
0.667 0.333 0.714 Ga
0.333 0.667 0.654 Ni
0.667 0.333 0.346 Ni
```

For the formation energy, the calculation gives -478 meV/atom. The value obtained for the calculated density is 6.63 g/cm³. As for the calculated total energy: -26.847 eV/f.u.

No. 2
Nd2MgGa3Ni4 | GGA-PBE | optimized geometry

Geometry as POSCAR:
```
Nd2MgGa3Ni4
1.0
4.129 0.000 0.000
0.000 4.129 0.000
0.000 0.000 10.334
Nd Mg Ga Ni
2 1 3 4
Direct
0.000 0.500 0.238 Nd
0.500 0.000 0.762 Nd
0.000 0.000 0.500 Mg
0.000 0.500 0.879 Ga
0.500 0.000 0.121 Ga
0.500 0.500 0.500 Ga
0.000 0.000 0.000 Ni
0.000 0.500 0.644 Ni
0.500 0.000 0.356 Ni
0.500 0.500 0.000 Ni
```

For the formation energy, the calculation gives -473 meV/atom. The value obtained for the calculated density is 7.13 g/cm³. As for the calculated total energy: -48.065 eV/f.u.

No. 3
NdMg2GaNi2 | GGA-PBE | optimized geometry

Geometry as POSCAR:
```
NdMg2GaNi2
1.0
-2.472 2.472 5.059
2.472 -2.472 5.059
2.472 2.472 -5.059
Nd Mg Ga Ni
1 2 1 2
Direct
0.000 0.000 0.000 Nd
0.250 0.750 0.500 Mg
0.750 0.250 0.500 Mg
0.500 0.500 0.000 Ga
0.276 0.276 0.000 Ni
0.724 0.724 0.000 Ni
```

For the formation energy, the calculation gives -96 meV/atom. The value obtained for the calculated density is 5.10 g/cm³. As for the calculated total energy: -23.125 eV/f.u.